# 1
## TeCSe (PBE)

Data for TeCSe after structural relaxation.

## Properties
size of the total moment	0.00	μB per formula unit
total energy	-4.50	eV per atom
D(E_F)	0.22	states/eV per cell
ΔE_f (raw)	0.79	eV/atom
distance to the lowest polymorph of the same formula	0.0000	eV per atom

Cell and atoms, written as POSCAR:
```
TeCSe
1.0
3.4380 -4.5311 0.0000
3.4380 4.5311 0.0000
0.0000 0.0000 5.9954
Te C Se
2 2 2
Direct
0.1317 0.8683 0.5000 Te
0.8683 0.1317 0.0000 Te
0.0756 0.9244 0.1516 C
0.9244 0.0756 0.6516 C
0.2478 0.7522 0.9915 Se
0.7522 0.2478 0.4915 Se
```

=====

# 2
## Nd2ScHg4 (PBE)

Data for Nd2ScHg4 after structural relaxation.

## Properties
size of the total moment	0.00	μB per formula unit
total energy	-2.78	eV per atom
D(E_F)	5.29	states/eV per cell
distance to the lowest polymorph of the same formula	0.0000	eV per atom

Cell and atoms, written as POSCAR:
```
Nd2ScHg4
1.0
2.4355 1.4061 9.6837
-2.4355 1.4061 9.6837
0.0000 -2.8122 9.6837
Nd Sc Hg
2 1 4
Direct
0.2467 0.2467 0.2467 Nd
0.7533 0.7533 0.7533 Nd
0.0000 0.0000 0.0000 Sc
0.1370 0.1370 0.1370 Hg
0.3641 0.3641 0.3641 Hg
0.6359 0.6359 0.6359 Hg
0.8630 0.8630 0.8630 Hg
```

=====

# 3
## Sb4IrSe (PBE)

Data for Sb4IrSe after structural relaxation.

## Properties
size of the total moment	0.01	μB per formula unit
total energy	-3.81	eV per atom
D(E_F)	7.05	states/eV per cell
ΔE_f (raw)	0.99	eV/atom
distance to the lowest polymorph of the same formula	1.1009	eV per atom

Cell and atoms, written as POSCAR:
```
Sb4IrSe
1.0
0.0000 4.2617 4.2617
4.2617 0.0000 4.2617
4.2617 4.2617 0.0000
Sb Ir Se
4 1 1
Direct
0.1250 0.1250 0.1250 Sb
0.1250 0.1250 0.6249 Sb
0.1250 0.6249 0.1250 Sb
0.6249 0.1250 0.1250 Sb
0.5000 0.5000 0.5000 Ir
0.7500 0.7500 0.7500 Se
```